1.
# SrLiTl2, optimized geometry, DFT PBE-GGA
data_SrLiTl2
_cell_length_a 7.060
_cell_length_b 7.060
_cell_length_c 7.060
_cell_angle_alpha 55.97
_cell_angle_beta 148.06
_cell_angle_gamma 135.33
_symmetry_space_group_name_H-M 'P 1'
_symmetry_Int_Tables_number 1
loop_
_symmetry_equiv_pos_as_xyz
'x,y,z'
loop_
_atom_site_label
_atom_site_type_symbol
_atom_site_fract_x
_atom_site_fract_y
_atom_site_fract_z
Sr1 Sr 0.000 0.500 0.500
Tl1 Tl 0.000 0.215 0.215
Tl2 Tl 0.000 0.785 0.785
Li1 Li 0.000 0.000 0.000
# * DOS(E_F): 2.9 states/eV/f.u.
# * energy: -2.057 eV/atom
# * ΔE_f: 10 kJ/mol of formula units
# * mass density: 6430 kg/m3



2.
# SrLi2Tl8, optimized geometry, DFT PBE-GGA
data_SrLi2Tl8
_cell_length_a 6.527
_cell_length_b 6.527
_cell_length_c 8.722
_cell_angle_alpha 90.00
_cell_angle_beta 90.00
_cell_angle_gamma 90.00
_symmetry_space_group_name_H-M 'P 1'
_symmetry_Int_Tables_number 1
loop_
_symmetry_equiv_pos_as_xyz
'x,y,z'
loop_
_atom_site_label
_atom_site_type_symbol
_atom_site_fract_x
_atom_site_fract_y
_atom_site_fract_z
Tl1 Tl 0.246 0.754 0.798
Tl2 Tl 0.246 0.246 0.798
Tl3 Tl 0.754 0.754 0.798
Tl4 Tl 0.246 0.754 0.202
Tl5 Tl 0.754 0.246 0.798
Tl6 Tl 0.246 0.246 0.202
Tl7 Tl 0.754 0.246 0.202
Tl8 Tl 0.754 0.754 0.202
Li1 Li 0.000 0.500 0.000
Li2 Li 0.500 0.000 0.000
Sr1 Sr 0.500 0.500 0.500
# * DOS(E_F): 6.1 states/eV/f.u.
# * energy: -2.172 eV/atom
# * ΔE_f: 53 kJ/mol of formula units
# * mass density: 7760 kg/m3



3.
# Sr5LiTl6, optimized geometry, DFT PBE-GGA
data_Sr5LiTl6
_cell_length_a 5.674
_cell_length_b 8.085
_cell_length_c 8.985
_cell_angle_alpha 90.00
_cell_angle_beta 71.59
_cell_angle_gamma 90.00
_symmetry_space_group_name_H-M 'P 1'
_symmetry_Int_Tables_number 1
loop_
_symmetry_equiv_pos_as_xyz
'x,y,z'
loop_
_atom_site_label
_atom_site_type_symbol
_atom_site_fract_x
_atom_site_fract_y
_atom_site_fract_z
Tl1 Tl 0.500 0.771 0.000
Tl2 Tl 0.157 0.230 0.687
Tl3 Tl 0.500 0.229 0.000
Tl4 Tl 0.157 0.770 0.687
Tl5 Tl 0.843 0.230 0.313
Tl6 Tl 0.843 0.770 0.313
Sr1 Sr 0.666 0.000 0.668
Sr2 Sr 0.334 0.000 0.332
Sr3 Sr 0.000 0.500 0.000
Sr4 Sr 0.330 0.500 0.340
Sr5 Sr 0.670 0.500 0.660
Li1 Li 0.000 0.000 0.000
# * DOS(E_F): 8.0 states/eV/f.u.
# * energy: -2.411 eV/atom
# * ΔE_f: -426 kJ/mol of formula units
# * mass density: 7097 kg/m3